#a
CeNd3Ir3 | GGA-PBE | relaxed

Properties
* M_tot: 0.0 μB/f.u.
* calculated volume: 372.6 Å³/cell

Cell lengths 7.6841, 7.6841, 7.6841 Å; angles 67.57, 67.57, 67.57 degrees
With the nearest neighbours (Å) after each atom.
Atoms (fractional coordinates):
Ce: 0.1773 0.1773 0.1773  6 Ir 2.74-3.05
Ce: 0.8227 0.8227 0.8227  6 Ir 2.74-3.05
Nd: 0.1324 0.3780 0.6820  5 Ir 2.93-3.06
Nd: 0.3180 0.8676 0.6220  5 Ir 2.93-3.06
Nd: 0.3780 0.6820 0.1324  5 Ir 2.93-3.06
Nd: 0.6220 0.3180 0.8676  5 Ir 2.93-3.06
Nd: 0.6820 0.1324 0.3780  5 Ir 2.93-3.06
Nd: 0.8676 0.6220 0.3180  5 Ir 2.93-3.06
Ir: 0.0513 0.8115 0.4513  2 Ce 2.74-3.05, 5 Nd 2.93-3.06, 1 Ir 3.01
Ir: 0.1885 0.5487 0.9487  2 Ce 2.74-3.05, 5 Nd 2.93-3.06, 1 Ir 3.01
Ir: 0.4513 0.0513 0.8115  2 Ce 2.74-3.05, 5 Nd 2.93-3.06, 1 Ir 3.01
Ir: 0.5487 0.9487 0.1885  2 Ce 2.74-3.05, 5 Nd 2.93-3.06, 1 Ir 3.01
Ir: 0.8115 0.4513 0.0513  2 Ce 2.74-3.05, 5 Nd 2.93-3.06, 1 Ir 3.01
Ir: 0.9487 0.1885 0.5487  2 Ce 2.74-3.05, 5 Nd 2.93-3.06, 1 Ir 3.01



#b
CeNd3Ir3 | GGA-PBE | relaxed

Properties
* M_tot: 0.0 μB/f.u.
* calculated volume: 359.1 Å³/cell

Cell lengths 7.0839, 7.0839, 7.1608 Å; angles 90.55, 90.55, 91.87 degrees
With the nearest neighbours (Å) after each atom.
Atoms (fractional coordinates):
Ce: 0.2291 0.2291 0.3784  3 Ir 2.62-2.76
Ce: 0.7709 0.7709 0.6216  3 Ir 2.62-2.76
Nd: 0.1784 0.8216 0.0000  6 Ir 2.95-3.01
Nd: 0.2611 0.7389 0.5000  6 Ir 3.05-3.31
Nd: 0.3190 0.3190 0.9034  3 Ir 2.90-3.00
Nd: 0.6810 0.6810 0.0966  3 Ir 2.90-3.00
Nd: 0.7389 0.2611 0.5000  6 Ir 3.05-3.31
Nd: 0.8216 0.1784 0.0000  6 Ir 2.95-3.01
Ir: 0.0318 0.4872 0.2147  1 Ce 2.62
Ir: 0.0668 0.0668 0.6894  2 Ce 2.76-2.95, 5 Nd 2.90-3.05, 1 Ir 3.00
Ir: 0.4872 0.0318 0.2147  1 Ce 2.62
Ir: 0.5128 0.9682 0.7853  1 Ce 2.62
Ir: 0.9332 0.9332 0.3106  2 Ce 2.76-2.95, 5 Nd 2.90-3.05, 1 Ir 3.00
Ir: 0.9682 0.5128 0.7853  1 Ce 2.62



Tell me which of them is the least stable. Sure, it is #b.



#a
Ce2Nd2Ir3 | GGA-PBE | relaxed

Properties
* M_tot: 1.2 μB/f.u.
* calculated volume: 341.0 Å³/cell

Cell lengths 7.6228, 7.6228, 7.6228 Å; angles 109.47, 109.47, 109.47 degrees
With the nearest neighbours (Å) after each atom.
Atoms (fractional coordinates):
Ce: 0.0000 0.6146 0.5000  3 Ir 2.83
Ce: 0.5000 0.0000 0.6146  3 Ir 2.83
Ce: 0.6146 0.5000 0.0000  3 Ir 2.83
Ce: 0.8854 0.8854 0.8854  3 Ir 2.83
Nd: 0.0000 0.1271 0.5000  3 Ir 2.86
Nd: 0.1271 0.5000 0.0000  3 Ir 2.86
Nd: 0.3729 0.3729 0.3729  3 Ir 2.86
Nd: 0.5000 0.0000 0.1271  3 Ir 2.86
Ir: 0.1174 0.8674 0.2500  2 Ce 2.83, 2 Nd 2.86
Ir: 0.2500 0.1174 0.8674  2 Ce 2.83, 2 Nd 2.86
Ir: 0.3826 0.6326 0.7500  2 Ce 2.83, 2 Nd 2.86
Ir: 0.6326 0.7500 0.3826  2 Ce 2.83, 2 Nd 2.86
Ir: 0.7500 0.3826 0.6326  2 Ce 2.83, 2 Nd 2.86
Ir: 0.8674 0.2500 0.1174  2 Ce 2.83, 2 Nd 2.86



#b
Ce2Nd2Ir3 | GGA-PBE | relaxed

Properties
* M_tot: 0.8 μB/f.u.
* calculated volume: 368.8 Å³/cell

Cell lengths 14.7609, 4.3672, 5.8403 Å; angles 90.00, 101.59, 90.00 degrees
With the nearest neighbours (Å) after each atom.
Atoms (fractional coordinates):
Ce: 0.1667 0.0000 0.3177  4 Ir 2.77-2.85
Ce: 0.3333 0.5000 0.6823  4 Ir 2.77-2.85
Ce: 0.6667 0.5000 0.3177  4 Ir 2.77-2.85
Ce: 0.8333 0.0000 0.6823  4 Ir 2.77-2.85
Nd: 0.0907 0.5000 0.8049  5 Ir 2.91-3.08
Nd: 0.4093 0.0000 0.1951  5 Ir 2.91-3.08
Nd: 0.5907 0.0000 0.8049  5 Ir 2.91-3.08
Nd: 0.9093 0.5000 0.1951  5 Ir 2.91-3.08
Ir: 0.0000 0.0000 0.0000  2 Ce 2.77, 4 Nd 2.91
Ir: 0.2319 0.0000 0.8120  3 Ce 2.83-2.85, 3 Nd 3.01-3.08, 2 Ir 3.07
Ir: 0.2681 0.5000 0.1880  3 Ce 2.83-2.85, 3 Nd 3.01-3.08, 2 Ir 3.07
Ir: 0.5000 0.5000 0.0000  2 Ce 2.77, 4 Nd 2.91
Ir: 0.7319 0.5000 0.8120  3 Ce 2.83-2.85, 3 Nd 3.01-3.08, 2 Ir 3.07
Ir: 0.7681 0.0000 0.1880  3 Ce 2.83-2.85, 3 Nd 3.01-3.08, 2 Ir 3.07



Tell me which of them is the least stable. Sure, it is #b.



#a
CeNdIrPt | GGA-PBE | relaxed

Properties
* M_tot: 0.9 μB/f.u.
* calculated volume: 360.4 Å³/cell

Cell lengths 7.1166, 7.1166, 7.1166 Å; angles 90.00, 90.00, 90.00 degrees
With the nearest neighbours (Å) after each atom.
Atoms (fractional coordinates):
Ce: 0.0000 0.0000 0.0000  4 Ir 3.08, 4 Pt 3.08
Ce: 0.0000 0.5000 0.5000  4 Ir 3.08, 4 Pt 3.08
Ce: 0.5000 0.0000 0.5000  4 Ir 3.08, 4 Pt 3.08
Ce: 0.5000 0.5000 0.0000  4 Ir 3.08, 4 Pt 3.08
Nd: 0.0000 0.0000 0.5000  4 Pt 3.08, 4 Ir 3.08
Nd: 0.0000 0.5000 0.0000  4 Pt 3.08, 4 Ir 3.08
Nd: 0.5000 0.0000 0.0000  4 Pt 3.08, 4 Ir 3.08
Nd: 0.5000 0.5000 0.5000  4 Pt 3.08, 4 Ir 3.08
Ir: 0.2500 0.2500 0.7500  4 Ce 3.08, 4 Nd 3.08
Ir: 0.2500 0.7500 0.2500  4 Ce 3.08, 4 Nd 3.08
Ir: 0.7500 0.2500 0.2500  4 Ce 3.08, 4 Nd 3.08
Ir: 0.7500 0.7500 0.7500  4 Ce 3.08, 4 Nd 3.08
Pt: 0.2500 0.2500 0.2500  4 Ce 3.08, 4 Nd 3.08
Pt: 0.2500 0.7500 0.7500  4 Ce 3.08, 4 Nd 3.08
Pt: 0.7500 0.2500 0.7500  4 Ce 3.08, 4 Nd 3.08
Pt: 0.7500 0.7500 0.2500  4 Ce 3.08, 4 Nd 3.08



#b
CeNdIrPt | GGA-PBE | relaxed

Properties
* M_tot: 0.0 μB/f.u.
* calculated volume: 187.1 Å³/cell

Cell lengths 4.2028, 3.8905, 11.4442 Å; angles 90.00, 90.00, 90.00 degrees
With the nearest neighbours (Å) after each atom.
Atoms (fractional coordinates):
Ce: 0.0000 0.0000 0.0000  4 Ir 2.89, 2 Pt 3.15
Ce: 0.0000 0.5000 0.5000  4 Ir 2.89, 2 Pt 3.15
Nd: 0.5000 0.0000 0.2759  4 Pt 2.94, 1 Ir 2.96
Nd: 0.5000 0.5000 0.7759  4 Pt 2.94, 1 Ir 2.96
Ir: 0.5000 0.0000 0.5347  4 Ce 2.89, 2 Pt 2.96, 1 Nd 2.96
Ir: 0.5000 0.5000 0.0347  4 Ce 2.89, 2 Pt 2.96, 1 Nd 2.96
Pt: 0.0000 0.0000 0.7169  4 Nd 2.94, 2 Ir 2.96, 3 Ce 3.15-3.24
Pt: 0.0000 0.5000 0.2169  4 Nd 2.94, 2 Ir 2.96, 3 Ce 3.15-3.24



Tell me which of them is the least stable. Sure, it is #a.



#a
CeNdIrRh | GGA-PBE | relaxed

Properties
* M_tot: 0.5 μB/f.u.
* calculated volume: 348.6 Å³/cell

Cell lengths 7.0378, 7.0378, 7.0378 Å; angles 90.00, 90.00, 90.00 degrees
With the nearest neighbours (Å) after each atom.
Atoms (fractional coordinates):
Ce: 0.0000 0.0000 0.0000  4 Ir 3.05, 4 Rh 3.05
Ce: 0.0000 0.5000 0.5000  4 Ir 3.05, 4 Rh 3.05
Ce: 0.5000 0.0000 0.5000  4 Ir 3.05, 4 Rh 3.05
Ce: 0.5000 0.5000 0.0000  4 Ir 3.05, 4 Rh 3.05
Nd: 0.0000 0.0000 0.5000  4 Ir 3.05, 4 Rh 3.05
Nd: 0.0000 0.5000 0.0000  4 Ir 3.05, 4 Rh 3.05
Nd: 0.5000 0.0000 0.0000  4 Ir 3.05, 4 Rh 3.05
Nd: 0.5000 0.5000 0.5000  4 Rh 3.05, 4 Ir 3.05
Ir: 0.2500 0.2500 0.2500  4 Ce 3.05, 4 Nd 3.05
Ir: 0.2500 0.7500 0.7500  4 Ce 3.05, 4 Nd 3.05
Ir: 0.7500 0.2500 0.7500  4 Ce 3.05, 4 Nd 3.05
Ir: 0.7500 0.7500 0.2500  4 Ce 3.05, 4 Nd 3.05
Rh: 0.2500 0.2500 0.7500  4 Ce 3.05, 4 Nd 3.05
Rh: 0.2500 0.7500 0.2500  4 Ce 3.05, 4 Nd 3.05
Rh: 0.7500 0.2500 0.2500  4 Ce 3.05, 4 Nd 3.05
Rh: 0.7500 0.7500 0.7500  4 Nd 3.05, 4 Ce 3.05



#b
CeNdIrRh | GGA-PBE | relaxed

Properties
* M_tot: 0.0 μB/f.u.
* calculated volume: 180.5 Å³/cell

Cell lengths 4.1276, 3.9010, 11.2098 Å; angles 90.00, 90.00, 90.00 degrees
With the nearest neighbours (Å) after each atom.
Atoms (fractional coordinates):
Ce: 0.0000 0.0000 0.0000  4 Ir 2.88, 3 Rh 3.09-3.18
Ce: 0.0000 0.5000 0.5000  4 Ir 2.88, 3 Rh 3.09-3.18
Nd: 0.5000 0.0000 0.2770  4 Rh 2.90, 1 Ir 2.99
Nd: 0.5000 0.5000 0.7770  4 Rh 2.90, 1 Ir 2.99
Ir: 0.5000 0.0000 0.5437  4 Ce 2.88, 2 Rh 2.89, 1 Nd 2.99
Ir: 0.5000 0.5000 0.0437  4 Ce 2.88, 2 Rh 2.89, 1 Nd 2.99
Rh: 0.0000 0.0000 0.7240  2 Ir 2.89, 4 Nd 2.90, 3 Ce 3.09-3.18
Rh: 0.0000 0.5000 0.2240  2 Ir 2.89, 4 Nd 2.90, 3 Ce 3.09-3.18



Tell me which of them is the least stable. Sure, it is #a.



#a
CeNi3Ir2 | GGA-PBE | relaxed

Properties
* M_tot: 0.0 μB/f.u.
* calculated volume: 174.7 Å³/cell

Cell lengths 7.3261, 7.3261, 7.3261 Å; angles 44.36, 44.36, 44.36 degrees
With the nearest neighbours (Å) after each atom.
Atoms (fractional coordinates):
Ce: 0.2171 0.2171 0.2171  9 Ni 2.74-2.77, 3 Ir 2.80
Ce: 0.7829 0.7829 0.7829  9 Ni 2.74-2.77, 3 Ir 2.80
Ni: 0.2506 0.7110 0.7110  4 Ni 2.55-2.71, 3 Ir 2.65-2.76, 3 Ce 2.74-2.77
Ni: 0.2890 0.2890 0.7494  4 Ni 2.55-2.71, 3 Ir 2.65-2.76, 3 Ce 2.74-2.77
Ni: 0.2890 0.7494 0.2890  4 Ni 2.55-2.71, 3 Ir 2.65-2.76, 3 Ce 2.74-2.77
Ni: 0.7110 0.2506 0.7110  4 Ni 2.55-2.71, 3 Ir 2.65-2.76, 3 Ce 2.74-2.77
Ni: 0.7110 0.7110 0.2506  4 Ni 2.55-2.71, 3 Ir 2.65-2.76, 3 Ce 2.74-2.77
Ni: 0.7494 0.2890 0.2890  4 Ni 2.55-2.71, 3 Ir 2.65-2.76, 3 Ce 2.74-2.77
Ir: 0.0000 0.0000 0.0000  6 Ni 2.76, 6 Ir 2.77
Ir: 0.0000 0.5000 0.5000  4 Ni 2.65, 6 Ir 2.77, 2 Ce 2.80
Ir: 0.5000 0.0000 0.5000  4 Ni 2.65, 6 Ir 2.77, 2 Ce 2.80
Ir: 0.5000 0.5000 0.0000  4 Ni 2.65, 6 Ir 2.77, 2 Ce 2.80



#b
CeNi3Ir2 | GGA-PBE | relaxed

Properties
* M_tot: 0.0 μB/f.u.
* calculated volume: 92.5 Å³/cell

Cell lengths 5.0396, 5.0396, 4.2046 Å; angles 90.00, 90.00, 120.00 degrees
With the nearest neighbours (Å) after each atom.
Atoms (fractional coordinates):
Ce: 0.0000 0.0000 0.0000  6 Ir 2.91
Ni: 0.0000 0.5000 0.5000  4 Ni 2.52, 4 Ir 2.56
Ni: 0.5000 0.0000 0.5000  4 Ni 2.52, 4 Ir 2.56
Ni: 0.5000 0.5000 0.5000  4 Ni 2.52, 4 Ir 2.56
Ir: 0.3333 0.6667 0.0000  6 Ni 2.56
Ir: 0.6667 0.3333 0.0000  6 Ni 2.56



Tell me which of them is the least stable. Sure, it is #a.



#a
Ce2Ni2Ir | GGA-PBE | relaxed

Properties
* M_tot: 0.0 μB/f.u.
* calculated volume: 183.7 Å³/cell

Cell lengths 4.9663, 4.9663, 8.4093 Å; angles 103.34, 103.34, 67.19 degrees
With the nearest neighbours (Å) after each atom.
Atoms (fractional coordinates):
Ce: 0.0170 0.2832 0.1546  1 Ni 2.59, 1 Ir 2.79
Ce: 0.2832 0.0170 0.6546  1 Ni 2.59, 1 Ir 2.79
Ce: 0.7168 0.9830 0.3454  1 Ni 2.59, 1 Ir 2.79
Ce: 0.9830 0.7168 0.8454  1 Ni 2.59, 1 Ir 2.79
Ni: 0.2468 0.5117 0.5054  2 Ni 2.48-2.49, 1 Ce 2.59, 2 Ir 2.62
Ni: 0.4883 0.7532 0.9946  2 Ni 2.48-2.49, 1 Ce 2.59, 2 Ir 2.62
Ni: 0.5117 0.2468 0.0054  2 Ni 2.48-2.49, 1 Ce 2.59, 2 Ir 2.62
Ni: 0.7532 0.4883 0.4946  2 Ni 2.48-2.49, 1 Ce 2.59, 2 Ir 2.62
Ir: 0.3287 0.6713 0.2500  4 Ni 2.62, 2 Ce 2.79
Ir: 0.6713 0.3287 0.7500  4 Ni 2.62, 2 Ce 2.79



#b
Ce2Ni2Ir | GGA-PBE | relaxed

Properties
* M_tot: 0.0 μB/f.u.
* calculated volume: 365.9 Å³/cell

Cell lengths 7.0466, 7.0466, 7.3682 Å; angles 90.00, 90.00, 90.00 degrees
With the nearest neighbours (Å) after each atom.
Atoms (fractional coordinates):
Ce: 0.1860 0.3144 0.0000  6 Ni 2.65-2.89
Ce: 0.1856 0.3140 0.5000  6 Ni 2.65-2.89
Ce: 0.3144 0.8140 0.0000  6 Ni 2.65-2.89
Ce: 0.3140 0.8144 0.5000  6 Ni 2.65-2.89
Ce: 0.6856 0.1860 0.0000  6 Ni 2.65-2.89
Ce: 0.6860 0.1856 0.5000  6 Ni 2.65-2.89
Ce: 0.8140 0.6856 0.0000  6 Ni 2.65-2.89
Ce: 0.8144 0.6860 0.5000  6 Ni 2.65-2.89
Ni: 0.1232 0.6232 0.2500  1 Ni 2.46, 2 Ce 2.65
Ni: 0.1232 0.6232 0.7500  1 Ni 2.46, 2 Ce 2.65
Ni: 0.3768 0.1232 0.2500  1 Ni 2.46, 2 Ce 2.65
Ni: 0.3768 0.1232 0.7500  1 Ni 2.46, 2 Ce 2.65
Ni: 0.6232 0.8768 0.2500  1 Ni 2.46, 2 Ce 2.65
Ni: 0.6232 0.8768 0.7500  1 Ni 2.46, 2 Ce 2.65
Ni: 0.8768 0.3768 0.2500  1 Ni 2.46, 2 Ce 2.65
Ni: 0.8768 0.3768 0.7500  1 Ni 2.46, 2 Ce 2.65
Ir: 0.0000 0.0000 0.2492  4 Ni 2.79
Ir: 0.0000 0.0000 0.7508  4 Ni 2.79
Ir: 0.5000 0.5000 0.2507  4 Ni 2.79
Ir: 0.5000 0.5000 0.7492  4 Ni 2.79



Tell me which of them is the least stable. Sure, it is #b.



#a
CePmNiIr | GGA-PBE | relaxed

Properties
* M_tot: 0.6 μB/f.u.
* calculated volume: 338.7 Å³/cell

Cell lengths 6.9709, 6.9709, 6.9709 Å; angles 90.00, 90.00, 90.00 degrees
With the nearest neighbours (Å) after each atom.
Atoms (fractional coordinates):
Ce: 0.0000 0.0000 0.0000  4 Ni 3.02, 4 Ir 3.02
Ce: 0.0000 0.5000 0.5000  4 Ni 3.02, 4 Ir 3.02
Ce: 0.5000 0.0000 0.5000  4 Ni 3.02, 4 Ir 3.02
Ce: 0.5000 0.5000 0.0000  4 Ni 3.02, 4 Ir 3.02
Pm: 0.0000 0.0000 0.5000  4 Ir 3.02, 4 Ni 3.02
Pm: 0.0000 0.5000 0.0000  4 Ir 3.02, 4 Ni 3.02
Pm: 0.5000 0.0000 0.0000  4 Ir 3.02, 4 Ni 3.02
Pm: 0.5000 0.5000 0.5000  4 Ir 3.02, 4 Ni 3.02
Ni: 0.2500 0.2500 0.2500  4 Ce 3.02, 4 Pm 3.02
Ni: 0.2500 0.7500 0.7500  4 Ce 3.02, 4 Pm 3.02
Ni: 0.7500 0.2500 0.7500  4 Ce 3.02, 4 Pm 3.02
Ni: 0.7500 0.7500 0.2500  4 Ce 3.02, 4 Pm 3.02
Ir: 0.2500 0.2500 0.7500  4 Ce 3.02, 4 Pm 3.02
Ir: 0.2500 0.7500 0.2500  4 Ce 3.02, 4 Pm 3.02
Ir: 0.7500 0.2500 0.2500  4 Ce 3.02, 4 Pm 3.02
Ir: 0.7500 0.7500 0.7500  4 Ce 3.02, 4 Pm 3.02



#b
CePmNiIr | GGA-PBE | relaxed

Properties
* M_tot: 0.2 μB/f.u.
* calculated volume: 174.5 Å³/cell

Cell lengths 4.5000, 3.8147, 10.1669 Å; angles 90.00, 90.00, 90.00 degrees
With the nearest neighbours (Å) after each atom.
Atoms (fractional coordinates):
Ce: 0.0000 0.0000 0.0000  3 Ir 2.90, 4 Ni 3.00
Ce: 0.0000 0.5000 0.5000  3 Ir 2.90, 4 Ni 3.00
Pm: 0.5000 0.0000 0.2774  3 Ni 2.82-2.96, 4 Ir 3.02
Pm: 0.5000 0.5000 0.7774  3 Ni 2.82-2.96, 4 Ir 3.02
Ni: 0.5000 0.0000 0.5551  2 Ir 2.78, 3 Pm 2.82-2.96, 4 Ce 3.00
Ni: 0.5000 0.5000 0.0551  2 Ir 2.78, 3 Pm 2.82-2.96, 4 Ce 3.00
Ir: 0.0000 0.0000 0.7149  2 Ni 2.78, 3 Ce 2.90, 4 Pm 3.02
Ir: 0.0000 0.5000 0.2149  2 Ni 2.78, 3 Ce 2.90, 4 Pm 3.02



Tell me which of them is the least stable. Sure, it is #a.



#a
TbCeNiIr | GGA-PBE | relaxed

Properties
* M_tot: 0.0 μB/f.u.
* calculated volume: 168.7 Å³/cell

Cell lengths 4.4573, 3.7361, 10.1282 Å; angles 90.00, 90.00, 90.00 degrees
With the nearest neighbours (Å) after each atom.
Atoms (fractional coordinates):
Tb: 0.0000 0.0000 0.0000  3 Ni 2.83-2.92, 4 Ir 2.96
Tb: 0.0000 0.5000 0.5000  3 Ni 2.83-2.92, 4 Ir 2.96
Ce: 0.5000 0.0000 0.7223  3 Ir 2.83-2.91, 4 Ni 2.96
Ce: 0.5000 0.5000 0.2223  3 Ir 2.83-2.91, 4 Ni 2.96
Ni: 0.0000 0.0000 0.2790  2 Ir 2.78, 3 Tb 2.83-2.92, 4 Ce 2.96
Ni: 0.0000 0.5000 0.7790  2 Ir 2.78, 3 Tb 2.83-2.92, 4 Ce 2.96
Ir: 0.5000 0.0000 0.4431  2 Ni 2.78, 3 Ce 2.83-2.91, 4 Tb 2.96
Ir: 0.5000 0.5000 0.9431  2 Ni 2.78, 3 Ce 2.83-2.91, 4 Tb 2.96



#b
TbCeNiIr | GGA-PBE | relaxed

Properties
* M_tot: 0.4 μB/f.u.
* calculated volume: 328.4 Å³/cell

Cell lengths 6.8990, 6.8990, 6.8990 Å; angles 90.00, 90.00, 90.00 degrees
With the nearest neighbours (Å) after each atom.
Atoms (fractional coordinates):
Tb: 0.0000 0.0000 0.0000  4 Ni 2.99, 4 Ir 2.99
Tb: 0.0000 0.5000 0.5000  4 Ni 2.99, 4 Ir 2.99
Tb: 0.5000 0.0000 0.5000  4 Ni 2.99, 4 Ir 2.99
Tb: 0.5000 0.5000 0.0000  4 Ni 2.99, 4 Ir 2.99
Ce: 0.0000 0.0000 0.5000  4 Ni 2.99, 4 Ir 2.99
Ce: 0.0000 0.5000 0.0000  4 Ni 2.99, 4 Ir 2.99
Ce: 0.5000 0.0000 0.0000  4 Ni 2.99, 4 Ir 2.99
Ce: 0.5000 0.5000 0.5000  4 Ni 2.99, 4 Ir 2.99
Ni: 0.2500 0.2500 0.7500  4 Tb 2.99, 4 Ce 2.99
Ni: 0.2500 0.7500 0.2500  4 Tb 2.99, 4 Ce 2.99
Ni: 0.7500 0.2500 0.2500  4 Tb 2.99, 4 Ce 2.99
Ni: 0.7500 0.7500 0.7500  4 Tb 2.99, 4 Ce 2.99
Ir: 0.2500 0.2500 0.2500  4 Tb 2.99, 4 Ce 2.99
Ir: 0.2500 0.7500 0.7500  4 Tb 2.99, 4 Ce 2.99
Ir: 0.7500 0.2500 0.7500  4 Tb 2.99, 4 Ce 2.99
Ir: 0.7500 0.7500 0.2500  4 Tb 2.99, 4 Ce 2.99



Tell me which of them is the least stable. Sure, it is #b.